[1]
Computed, not measured: a geometry-optimized SrBePdAu6 structure at the PBE-GGA level of DFT. Values from VASP.

Cell and atoms, written as Quantum ESPRESSO input:
```
&SYSTEM
  ibrav = 0, nat = 18, ntyp = 4
/
ATOMIC_SPECIES
Sr 87.62 Sr.upf
Be 9.01 Be.upf
Pd 106.42 Pd.upf
Au 196.97 Au.upf
CELL_PARAMETERS angstrom
-3.889 4.426 5.850
3.889 -4.426 5.850
3.889 4.426 -5.850
ATOMIC_POSITIONS crystal
Sr 0.419 0.169 0.250
Sr 0.581 0.831 0.750
Be 0.000 0.500 0.500
Be 0.500 0.500 0.000
Pd 0.000 0.000 0.500
Pd 0.000 0.500 0.000
Au 0.123 0.403 0.275
Au 0.123 0.848 0.720
Au 0.152 0.902 0.250
Au 0.315 0.565 0.750
Au 0.372 0.152 0.775
Au 0.372 0.597 0.220
Au 0.628 0.403 0.780
Au 0.628 0.848 0.225
Au 0.685 0.435 0.250
Au 0.848 0.098 0.750
Au 0.877 0.152 0.280
Au 0.877 0.597 0.725
```

Calculated values
**Energy of formation from the pure elements**: -0.8 eV/f.u.
**ρ**: 11.418 Mg/m³
**M_tot**: 0.000 μB/f.u.
**VASP energy**: -3.449 eV/atom
**Space group**: Imma, No. 74

[2]
Computed, not measured: a geometry-optimized DyTm2Te structure at the PBE-GGA level of DFT. Values from VASP.

Cell and atoms, written as Quantum ESPRESSO input:
```
&SYSTEM
  ibrav = 0, nat = 4, ntyp = 3
/
ATOMIC_SPECIES
Dy 162.50 Dy.upf
Tm 168.93 Tm.upf
Te 127.60 Te.upf
CELL_PARAMETERS angstrom
3.818 0.000 0.000
0.000 3.818 0.000
0.000 0.000 7.842
ATOMIC_POSITIONS crystal
Dy 0.000 0.000 0.000
Tm 0.500 0.500 0.274
Tm 0.500 0.500 0.726
Te 0.000 0.000 0.500
```

Calculated values
**ΔE_f (raw)**: -526.8 meV per atom
**ρ**: 9.120 Mg/m³
**Energy relative to the lowest polymorph listed for this composition**: 99 meV/atom
**M_tot**: 0.000 μB/f.u.
**VASP energy**: -4.698 eV/atom
**Space group**: P4/mmm, No. 123

[3]
Computed, not measured: a geometry-optimized BaGaI2 structure at the PBE-GGA level of DFT. Values from VASP.

Cell and atoms, written as Quantum ESPRESSO input:
```
&SYSTEM
  ibrav = 0, nat = 16, ntyp = 3
/
ATOMIC_SPECIES
Ba 137.33 Ba.upf
Ga 69.72 Ga.upf
I 126.90 I.upf
CELL_PARAMETERS angstrom
6.009 0.000 0.000
0.000 6.009 0.000
0.000 0.000 21.071
ATOMIC_POSITIONS crystal
Ba 0.000 0.000 0.000
Ba 0.000 0.500 0.250
Ba 0.500 0.000 0.750
Ba 0.500 0.500 0.500
Ga 0.000 0.000 0.500
Ga 0.000 0.500 0.750
Ga 0.500 0.000 0.250
Ga 0.500 0.500 0.000
I 0.238 0.250 0.625
I 0.250 0.738 0.875
I 0.250 0.762 0.375
I 0.262 0.250 0.125
I 0.738 0.750 0.125
I 0.750 0.238 0.375
I 0.750 0.262 0.875
I 0.762 0.750 0.625
```

Calculated values
**ΔE_f (raw)**: -759.4 meV per atom
**ρ**: 4.024 Mg/m³
**Energy relative to the lowest polymorph listed for this composition**: 123 meV/atom
**M_tot**: 0.000 μB/f.u.
**VASP energy**: -2.772 eV/atom
**Space group**: I-42d, No. 122

[4]
Computed, not measured: a geometry-optimized CaNdZn17 structure at the PBE-GGA level of DFT. Values from VASP.

Cell and atoms, written as Quantum ESPRESSO input:
```
&SYSTEM
  ibrav = 0, nat = 19, ntyp = 3
/
ATOMIC_SPECIES
Ca 40.08 Ca.upf
Nd 144.24 Nd.upf
Zn 65.41 Zn.upf
CELL_PARAMETERS angstrom
4.531 2.616 4.417
-4.531 2.616 4.417
0.000 -5.231 4.417
ATOMIC_POSITIONS crystal
Ca 0.000 0.000 0.000
Nd 0.673 0.673 0.673
Zn 0.042 0.336 0.632
Zn 0.042 0.632 0.336
Zn 0.175 0.688 0.688
Zn 0.237 0.237 0.237
Zn 0.336 0.042 0.632
Zn 0.336 0.632 0.042
Zn 0.338 0.338 0.836
Zn 0.338 0.836 0.338
Zn 0.435 0.435 0.435
Zn 0.498 0.986 0.986
Zn 0.632 0.042 0.336
Zn 0.632 0.336 0.042
Zn 0.688 0.175 0.688
Zn 0.688 0.688 0.175
Zn 0.836 0.338 0.338
Zn 0.986 0.498 0.986
Zn 0.986 0.986 0.498
```

Calculated values
**Energy of formation from the pure elements**: -4.1 eV/f.u.
**ρ**: 6.854 Mg/m³
**M_tot**: 0.000 μB/f.u.
**VASP energy**: -1.712 eV/atom
**Space group**: R3m, No. 160

[5]
Computed, not measured: a geometry-optimized AlFe14Re structure at the PBE-GGA level of DFT. Values from VASP.

Cell and atoms, written as Quantum ESPRESSO input:
```
&SYSTEM
  ibrav = 0, nat = 16, ntyp = 3
/
ATOMIC_SPECIES
Al 26.98 Al.upf
Fe 55.84 Fe.upf
Re 186.21 Re.upf
CELL_PARAMETERS angstrom
2.896 -4.021 0.000
2.896 4.021 0.000
0.000 0.000 8.064
ATOMIC_POSITIONS crystal
Al 0.000 0.000 0.000
Fe 0.000 0.000 0.500
Fe 0.000 0.500 0.000
Fe 0.000 0.500 0.500
Fe 0.248 0.752 0.250
Fe 0.248 0.752 0.750
Fe 0.251 0.251 0.256
Fe 0.251 0.251 0.744
Fe 0.500 0.000 0.000
Fe 0.500 0.000 0.500
Fe 0.500 0.500 0.500
Fe 0.749 0.749 0.256
Fe 0.749 0.749 0.744
Fe 0.752 0.248 0.250
Fe 0.752 0.248 0.750
Re 0.500 0.500 0.000
```

Calculated values
**Energy of formation from the pure elements**: -0.5 eV/f.u.
**ρ**: 8.799 Mg/m³
**M_tot**: 29.637 μB/f.u.
**VASP energy**: -8.445 eV/atom
**Space group**: Cmmm, No. 65

[6]
Computed, not measured: a geometry-optimized Na2Ti2NiS6 structure at the PBE-GGA level of DFT. Values from VASP.

Cell and atoms, written as Quantum ESPRESSO input:
```
&SYSTEM
  ibrav = 0, nat = 11, ntyp = 4
/
ATOMIC_SPECIES
Na 22.99 Na.upf
Ti 47.87 Ti.upf
Ni 58.69 Ni.upf
S 32.06 S.upf
CELL_PARAMETERS angstrom
3.020 -5.257 0.000
3.020 5.257 0.000
-2.026 0.000 6.787
ATOMIC_POSITIONS crystal
Na 0.166 0.834 0.000
Na 0.834 0.166 0.000
Ti 0.333 0.667 0.500
Ti 0.667 0.333 0.500
Ni 0.000 0.000 0.500
S 0.068 0.399 0.701
S 0.263 0.263 0.300
S 0.399 0.068 0.701
S 0.601 0.932 0.299
S 0.737 0.737 0.700
S 0.932 0.601 0.299
```

Calculated values
**ΔE_f (raw)**: -1066.8 meV per atom
**ρ**: 3.027 Mg/m³
**M_tot**: 1.970 μB/f.u.
**VASP energy**: -5.519 eV/atom
**Space group**: C2/m, No. 12

[7]
Computed, not measured: a geometry-optimized NaInC structure at the PBE-GGA level of DFT. Values from VASP.

Cell and atoms, written as Quantum ESPRESSO input:
```
&SYSTEM
  ibrav = 0, nat = 6, ntyp = 3
/
ATOMIC_SPECIES
Na 22.99 Na.upf
In 114.82 In.upf
C 12.01 C.upf
CELL_PARAMETERS angstrom
5.503 0.000 0.000
-2.752 4.766 0.000
0.000 0.000 7.849
ATOMIC_POSITIONS crystal
Na 0.333 0.667 0.250
Na 0.667 0.333 0.750
In 0.000 0.000 0.250
In 0.000 0.000 0.750
C 0.000 0.000 0.000
C 0.000 0.000 0.500
```

Calculated values
**Energy of formation from the pure elements**: 4.2 eV/f.u.
**ρ**: 2.417 Mg/m³
**M_tot**: 0.000 μB/f.u.
**VASP energy**: -3.018 eV/atom
**Space group**: P6_3/mmc, No. 194

[8]
Computed, not measured: a geometry-optimized RbTlICl2 structure at the PBE-GGA level of DFT. Values from VASP.

Cell and atoms, written as Quantum ESPRESSO input:
```
&SYSTEM
  ibrav = 0, nat = 5, ntyp = 4
/
ATOMIC_SPECIES
Rb 85.47 Rb.upf
Tl 204.38 Tl.upf
I 126.90 I.upf
Cl 35.45 Cl.upf
CELL_PARAMETERS angstrom
5.638 0.000 0.000
0.000 5.638 0.000
0.000 0.000 6.114
ATOMIC_POSITIONS crystal
Rb 0.000 0.000 0.000
Tl 0.500 0.500 0.500
I 0.500 0.500 0.000
Cl 0.000 0.500 0.500
Cl 0.500 0.000 0.500
```

Calculated values
**ΔE_f (raw)**: -1080.6 meV per atom
**ρ**: 4.167 Mg/m³
**M_tot**: 0.000 μB/f.u.
**VASP energy**: -2.796 eV/atom
**Space group**: P4/mmm, No. 123

[9]
Computed, not measured: a geometry-optimized NaPu2Ag6 structure at the PBE-GGA level of DFT. Values from VASP.

Cell and atoms, written as Quantum ESPRESSO input:
```
&SYSTEM
  ibrav = 0, nat = 9, ntyp = 3
/
ATOMIC_SPECIES
Na 22.99 Na.upf
Pu 244.00 Pu.upf
Ag 107.87 Ag.upf
CELL_PARAMETERS angstrom
8.655 0.000 0.000
-4.327 7.495 0.000
0.000 0.000 2.967
ATOMIC_POSITIONS crystal
Na 0.000 0.000 0.000
Pu 0.333 0.667 0.000
Pu 0.667 0.333 0.000
Ag 0.000 0.331 0.500
Ag 0.000 0.669 0.500
Ag 0.331 0.000 0.500
Ag 0.331 0.331 0.500
Ag 0.669 0.000 0.500
Ag 0.669 0.669 0.500
```

Calculated values
**Energy of formation from the pure elements**: -0.1 eV/f.u.
**ρ**: 9.991 Mg/m³
**M_tot**: 12.314 μB/f.u.
**VASP energy**: -5.242 eV/atom
**Space group**: P6/mmm, No. 191

[10]
Computed, not measured: a geometry-optimized CdHgO2 structure at the PBE-GGA level of DFT. Values from VASP.

Cell and atoms, written as Quantum ESPRESSO input:
```
&SYSTEM
  ibrav = 0, nat = 16, ntyp = 3
/
ATOMIC_SPECIES
Cd 112.41 Cd.upf
Hg 200.59 Hg.upf
O 16.00 O.upf
CELL_PARAMETERS angstrom
5.240 0.000 0.000
0.000 5.240 0.000
0.000 0.000 10.434
ATOMIC_POSITIONS crystal
Cd 0.000 0.000 0.000
Cd 0.000 0.500 0.250
Cd 0.500 0.000 0.750
Cd 0.500 0.500 0.500
Hg 0.000 0.000 0.500
Hg 0.000 0.500 0.750
Hg 0.500 0.000 0.250
Hg 0.500 0.500 0.000
O 0.237 0.250 0.125
O 0.250 0.737 0.375
O 0.250 0.763 0.875
O 0.263 0.250 0.625
O 0.737 0.750 0.625
O 0.750 0.237 0.875
O 0.750 0.263 0.375
O 0.763 0.750 0.125
```

Calculated values
**ΔE_f (raw)**: -593.0 meV per atom
**ρ**: 7.998 Mg/m³
**Energy relative to the lowest polymorph listed for this composition**: 93 meV/atom
**M_tot**: 0.000 μB/f.u.
**VASP energy**: -3.376 eV/atom
**Space group**: I-42d, No. 122

[11]
Computed, not measured: a geometry-optimized Nd3CdNi structure at the PBE-GGA level of DFT. Values from VASP.

Cell and atoms, written as Quantum ESPRESSO input:
```
&SYSTEM
  ibrav = 0, nat = 10, ntyp = 3
/
ATOMIC_SPECIES
Nd 144.24 Nd.upf
Cd 112.41 Cd.upf
Ni 58.69 Ni.upf
CELL_PARAMETERS angstrom
3.735 0.000 0.000
0.000 10.528 0.000
-1.856 0.000 7.437
ATOMIC_POSITIONS crystal
Nd 0.053 0.250 0.101
Nd 0.364 0.051 0.726
Nd 0.364 0.449 0.726
Nd 0.636 0.551 0.274
Nd 0.636 0.949 0.274
Nd 0.947 0.750 0.899
Cd 0.262 0.750 0.526
Cd 0.738 0.250 0.474
Ni 0.000 0.000 0.000
Ni 0.000 0.500 0.000
```

Calculated values
**Energy of formation from the pure elements**: -0.8 eV/f.u.
**ρ**: 6.857 Mg/m³
**Energy relative to the lowest polymorph listed for this composition**: 45 meV/atom
**M_tot**: 0.000 μB/f.u.
**VASP energy**: -4.368 eV/atom
**Space group**: P2_1/m, No. 11

[12]
Computed, not measured: a geometry-optimized Ba2TiReP structure at the PBE-GGA level of DFT. Values from VASP.

Cell and atoms, written as Quantum ESPRESSO input:
```
&SYSTEM
  ibrav = 0, nat = 5, ntyp = 4
/
ATOMIC_SPECIES
Ba 137.33 Ba.upf
Ti 47.87 Ti.upf
Re 186.21 Re.upf
P 30.97 P.upf
CELL_PARAMETERS angstrom
6.153 0.000 0.000
0.000 6.153 0.000
0.000 0.000 4.539
ATOMIC_POSITIONS crystal
Ba 0.000 0.500 0.000
Ba 0.500 0.000 0.000
Ti 0.000 0.000 0.500
Re 0.500 0.500 0.000
P 0.500 0.500 0.500
```

Calculated values
**Energy of formation from the pure elements**: 3.7 eV/f.u.
**ρ**: 5.216 Mg/m³
**Energy relative to the lowest polymorph listed for this composition**: 0 meV/atom
**M_tot**: 3.165 μB/f.u.
**VASP energy**: -5.189 eV/atom
**Space group**: P4/mmm, No. 123

Question: Number 4 is which compound?
Answer: CaNdZn17